K2Ru, PBEsol geometry, DFT SCAN; total energy = -15.99 eV/atom; energy of formation = 1.17 eV per atom
1.0
-1.515 1.277 -1.864
1.985 -3.277 -3.860
-4.021 -2.275 3.695
K Ru
2 1
direct
0.660 0.660 0.319 K
0.340 0.340 0.681 K
0.000 0.000 0.000 Ru

SrS2N, PBEsol geometry, DFT SCAN; total energy = -12.22 eV/atom; ΔE_f (raw) = 0.486 eV per atom
1.0
4.791 0.000 0.000
2.396 4.149 0.000
2.396 1.383 3.912
Sr S N
1 2 1
direct
0.500 0.500 0.500 Sr
0.750 0.750 0.750 S
0.250 0.250 0.250 S
0.000 0.000 0.000 N

RbMgF2, PBEsol geometry, DFT SCAN; total energy = -10.54 eV/atom; ΔE_f (raw) = -2.344 eV per atom
1.0
3.501 0.000 0.000
1.750 3.032 0.000
1.750 1.011 7.336
Rb Mg F
1 1 2
direct
0.000 0.000 0.000 Rb
0.500 0.500 0.500 Mg
0.872 0.872 0.384 F
0.128 0.128 0.616 F

MgTa3Sb, PBEsol geometry, DFT SCAN; total energy = -46.58 eV/atom; ΔE_f (raw) = 1.818 eV per atom
1.0
4.700 0.000 0.000
0.000 4.700 0.000
0.000 0.000 4.700
Sb Ta Mg
1 3 1
direct
0.500 0.500 0.500 Sb
0.000 0.500 0.000 Ta
0.000 0.000 0.500 Ta
0.500 0.000 0.000 Ta
0.000 0.000 0.000 Mg

CuPb3I, PBEsol geometry, DFT SCAN; total energy = -54.65 eV/atom; ΔE_f (raw) = 1.204 eV per atom
1.0
5.878 0.000 0.000
0.000 5.878 0.000
0.000 0.000 5.878
Pb I Cu
3 1 1
direct
0.000 0.500 0.000 Pb
0.000 0.000 0.500 Pb
0.500 0.000 0.000 Pb
0.000 0.000 0.000 I
0.500 0.500 0.500 Cu

ScPRu2, PBEsol geometry, DFT SCAN; total energy = -23.99 eV/atom; energy of formation = -0.42 eV per atom
1.0
-1.530 -0.091 -2.467
-1.441 -3.520 1.023
-3.791 2.211 2.269
Ru P Sc
2 1 1
direct
0.000 0.000 0.987 Ru
0.500 0.500 0.241 Ru
0.500 0.500 0.772 P
0.000 0.000 0.500 Sc

Zr2SiPb, PBEsol geometry, DFT SCAN; total energy = -37.27 eV/atom; ΔE_f (raw) = -0.471 eV per atom
1.0
-0.853 3.078 0.199
-2.795 -1.482 0.486
1.451 -0.114 7.989
Zr Si Pb
2 1 1
direct
0.000 0.000 0.217 Zr
0.000 0.000 0.783 Zr
0.500 0.500 0.000 Si
0.500 0.500 0.500 Pb

Fe2SiBr, PBEsol geometry, DFT SCAN; total energy = -16.30 eV/atom; ΔE_f (raw) = 0.137 eV per atom
1.0
3.007 0.000 0.000
0.000 3.484 0.000
-1.503 -1.742 6.015
Br Fe Si
1 2 1
direct
0.286 0.786 0.572 Br
0.668 0.168 0.336 Fe
0.009 0.009 0.018 Fe
0.537 0.537 0.075 Si

Te2PBr, PBEsol geometry, DFT SCAN; total energy = -25.82 eV/atom; ΔE_f (raw) = 0.270 eV per atom
1.0
3.620 0.000 0.000
1.810 3.135 0.000
1.810 1.045 8.956
Te P Br
2 1 1
direct
0.981 0.981 0.057 Te
0.746 0.746 0.761 Te
0.254 0.254 0.237 P
0.518 0.518 0.445 Br

LiReAs2, PBEsol geometry, DFT SCAN; total energy = -28.69 eV/atom; energy of formation = -0.22 eV per atom
1.0
3.036 0.000 0.000
0.000 3.036 0.000
0.000 0.000 6.948
As Re Li
2 1 1
direct
0.000 0.000 0.718 As
0.000 0.000 0.282 As
0.500 0.500 0.500 Re
0.500 0.500 0.000 Li

MgSn3P4O14, PBEsol geometry, DFT SCAN; total energy = -13.17 eV/atom; ΔE_f (raw) = -2.188 eV per atom
1.0
-2.828 5.687 -3.754
-0.758 -4.795 -6.692
-8.669 -1.146 4.793
O P Sn Mg
28 8 6 2
direct
0.225 0.094 0.179 O
0.389 0.241 0.406 O
0.119 0.370 0.339 O
0.111 0.241 0.906 O
0.720 0.372 0.884 O
0.094 0.598 0.849 O
0.421 0.098 0.905 O
0.889 0.759 0.094 O
0.275 0.094 0.679 O
0.406 0.598 0.349 O
0.881 0.630 0.661 O
0.619 0.630 0.161 O
0.611 0.759 0.594 O
0.594 0.402 0.651 O
0.725 0.906 0.321 O
0.579 0.902 0.095 O
0.950 0.633 0.366 O
0.280 0.628 0.116 O
0.780 0.372 0.384 O
0.775 0.906 0.821 O
0.079 0.098 0.405 O
0.921 0.902 0.595 O
0.450 0.367 0.134 O
0.220 0.628 0.616 O
0.906 0.402 0.151 O
0.050 0.367 0.634 O
0.381 0.370 0.839 O
0.550 0.633 0.866 O
0.210 0.191 0.328 P
0.071 0.554 0.693 P
0.790 0.809 0.672 P
0.710 0.809 0.172 P
0.290 0.191 0.828 P
0.571 0.446 0.807 P
0.429 0.554 0.193 P
0.929 0.446 0.307 P
0.146 0.800 0.470 Sn
0.354 0.800 0.970 Sn
0.646 0.200 0.030 Sn
0.000 0.000 0.000 Sn
0.500 0.000 0.500 Sn
0.854 0.200 0.530 Sn
0.000 0.500 0.000 Mg
0.500 0.500 0.500 Mg

SrSc, PBEsol geometry, DFT SCAN; total energy = -17.86 eV/atom; energy of formation = 0.40 eV per atom
1.0
5.265 0.000 0.000
0.000 5.265 0.000
-2.632 -2.632 4.917
Sr Sc
2 2
direct
0.750 0.250 0.500 Sr
0.500 0.500 0.000 Sr
0.000 0.000 0.000 Sc
0.250 0.750 0.500 Sc

AsPt2Pb, PBEsol geometry, DFT SCAN; total energy = -59.03 eV/atom; energy of formation = 0.06 eV per atom
1.0
-0.837 -2.453 -2.220
-0.691 -2.978 3.551
-3.651 4.014 -0.435
Pt Pb As
2 1 1
direct
0.023 0.023 0.047 Pt
0.766 0.266 0.532 Pt
0.245 0.745 0.489 Pb
0.466 0.466 0.932 As

Mg2HgSbIr, PBEsol geometry, DFT SCAN; total energy = -37.53 eV/atom; ΔE_f (raw) = -0.239 eV per atom
1.0
-1.154 -3.815 2.782
3.311 -2.897 -2.600
3.699 1.278 3.286
Mg Ir Sb Hg
2 1 1 1
direct
0.000 0.000 0.500 Mg
0.000 0.500 0.000 Mg
0.000 0.000 0.000 Ir
0.500 0.000 0.000 Sb
0.500 0.500 0.500 Hg

DyYMn2O6, PBEsol geometry, DFT SCAN; total energy = -18.07 eV/atom; ΔE_f (raw) = -3.112 eV per atom
1.0
-2.350 -2.928 -4.813
4.327 -2.667 3.380
-8.007 -4.537 6.671
O Y Dy Mn
18 3 3 6
direct
0.000 0.000 0.982 O
0.640 0.972 0.837 O
0.333 0.667 0.023 O
0.973 0.307 0.664 O
0.640 0.667 0.337 O
0.667 0.333 0.982 O
0.693 0.666 0.664 O
0.974 0.667 0.164 O
0.027 0.360 0.337 O
0.000 0.000 0.482 O
0.667 0.333 0.482 O
0.333 0.667 0.522 O
0.333 0.307 0.164 O
0.028 0.667 0.837 O
0.333 0.360 0.837 O
0.333 0.973 0.337 O
0.693 0.026 0.164 O
0.334 0.027 0.664 O
0.000 0.000 0.270 Y
0.000 0.000 0.770 Y
0.667 0.333 0.270 Y
0.333 0.667 0.224 Dy
0.333 0.667 0.724 Dy
0.667 0.333 0.771 Dy
0.000 0.667 0.001 Mn
0.667 0.666 0.501 Mn
0.334 0.001 0.501 Mn
0.999 0.333 0.501 Mn
0.667 0.000 0.001 Mn
0.333 0.333 0.001 Mn

ScP, PBEsol geometry, DFT SCAN; total energy = -13.62 eV/atom; energy of formation = -1.31 eV per atom
1.0
-0.874 3.241 -1.255
0.692 -3.267 -3.805
-6.083 -0.559 2.796
Sc P
3 3
direct
0.192 0.384 0.034 Sc
0.358 0.716 0.681 Sc
0.018 0.035 0.399 Sc
0.730 0.460 0.357 P
0.634 0.269 0.710 P
0.901 0.802 0.985 P

AlAs2PBr, PBEsol geometry, DFT SCAN; total energy = -14.89 eV/atom; ΔE_f (raw) = 0.712 eV per atom
1.0
-0.457 1.555 -4.496
-3.351 -3.311 -0.804
-3.489 3.178 1.454
As P Br Al
2 1 1 1
direct
0.500 0.000 0.000 As
0.000 0.500 0.000 As
0.000 0.000 0.000 P
0.000 0.000 0.500 Br
0.500 0.500 0.500 Al

AlRuSeN2, PBEsol geometry, DFT SCAN; total energy = -15.64 eV/atom; ΔE_f (raw) = 0.604 eV per atom
1.0
3.753 0.000 0.000
0.000 3.753 0.000
0.000 0.000 5.278
N Se Al Ru
2 1 1 1
direct
0.000 0.500 0.000 N
0.500 0.000 0.000 N
0.000 0.000 0.500 Se
0.500 0.500 0.500 Al
0.000 0.000 0.000 Ru

CaHf2TlH, PBEsol geometry, DFT SCAN; total energy = -42.10 eV/atom
1.0
4.288 0.000 0.000
0.000 4.288 0.000
0.000 0.000 5.252
Tl Hf Ca H
1 2 1 1
direct
0.000 0.000 0.500 Tl
0.000 0.500 0.000 Hf
0.500 0.000 0.000 Hf
0.500 0.500 0.500 Ca
0.000 0.000 0.000 H

LaBiO3, PBEsol geometry, DFT SCAN; total energy = -30.49 eV/atom; ΔE_f (raw) = -2.412 eV per atom
1.0
6.126 -0.059 -0.042
2.993 5.346 -0.042
2.993 1.735 5.056
Bi La O
2 2 6
direct
0.644 0.644 0.644 Bi
0.356 0.356 0.356 Bi
0.868 0.868 0.868 La
0.132 0.132 0.132 La
0.769 0.465 0.000 O
0.000 0.231 0.535 O
0.000 0.769 0.465 O
0.465 0.000 0.769 O
0.231 0.535 0.000 O
0.535 0.000 0.231 O

MnVBiO5, PBEsol geometry, DFT SCAN; total energy = -20.26 eV/atom; ΔE_f (raw) = -2.079 eV per atom
1.0
5.294 0.032 0.013
-0.771 6.808 -0.039
-2.088 -2.649 6.065
O Bi V Mn
10 2 2 2
direct
0.376 0.243 0.934 O
0.270 0.497 0.553 O
0.918 0.219 0.131 O
0.082 0.781 0.869 O
0.573 0.912 0.708 O
0.771 0.348 0.771 O
0.730 0.503 0.447 O
0.229 0.652 0.229 O
0.624 0.757 0.066 O
0.427 0.088 0.292 O
0.098 0.762 0.535 Bi
0.902 0.238 0.465 Bi
0.659 0.183 0.887 V
0.341 0.817 0.113 V
0.328 0.365 0.229 Mn
0.672 0.635 0.771 Mn

BaAl2Si2, PBEsol geometry, DFT SCAN; total energy = -15.29 eV/atom; ΔE_f (raw) = -0.275 eV per atom
1.0
-3.061 2.039 -2.277
-1.396 -0.448 5.585
4.532 8.861 1.844
Si Al Ba
4 4 2
direct
0.200 0.400 0.868 Si
0.800 0.600 0.368 Si
0.800 0.600 0.132 Si
0.200 0.400 0.632 Si
0.379 0.759 0.465 Al
0.621 0.241 0.535 Al
0.379 0.759 0.035 Al
0.621 0.241 0.965 Al
0.087 0.174 0.250 Ba
0.913 0.826 0.750 Ba

Y2ReSb, PBEsol geometry, DFT SCAN; total energy = -41.10 eV/atom; ΔE_f (raw) = -0.085 eV per atom
1.0
3.393 0.000 0.000
0.000 3.393 0.000
0.000 0.000 8.208
Re Y Sb
1 2 1
direct
0.000 0.000 0.536 Re
0.500 0.500 0.313 Y
0.000 0.000 0.953 Y
0.500 0.500 0.698 Sb

Fe3Co, PBEsol geometry, DFT SCAN; total energy = -18.02 eV/atom; energy of formation = -0.09 eV per atom
1.0
-1.622 1.391 1.135
-0.148 -2.273 0.813
5.352 1.661 5.612
Co Fe
1 3
direct
0.000 0.000 0.000 Co
0.000 0.000 0.500 Fe
0.500 0.500 0.752 Fe
0.500 0.500 0.248 Fe

BaMg2W, PBEsol geometry, DFT SCAN; total energy = -28.80 eV/atom; energy of formation = 1.00 eV per atom
1.0
-0.196 -2.285 -1.957
4.673 1.795 -2.563
0.861 -2.946 5.676
W Mg Ba
1 2 1
direct
0.519 0.519 0.038 W
0.228 0.728 0.456 Mg
0.984 0.984 0.968 Mg
0.769 0.269 0.539 Ba